Y2CdW after structural relaxation. Source: Alexandria via LeMat-Bulk, functional PBE.

Cell: 3.2278 3.2278 32.0014 Å, 90.00 90.00 120.00°
Fractional positions:
Y (0.0000, 0.0000, 0.0000)
Y (0.0000, 0.0000, 0.2334)
Y (0.3333, 0.6667, 0.6667)
Y (0.3333, 0.6667, 0.9001)
Y (0.6667, 0.3333, 0.3333)
Y (0.6667, 0.3333, 0.5668)
Cd (0.0000, 0.0000, 0.7522)
Cd (0.3333, 0.6667, 0.4188)
Cd (0.6667, 0.3333, 0.0855)
W (0.0000, 0.0000, 0.4918)
W (0.3333, 0.6667, 0.1584)
W (0.6667, 0.3333, 0.8251)

Properties
total energy = -73.89 eV/cell



Tb3Eu after structural relaxation. Source: Alexandria via LeMat-Bulk, functional PBE.

Cell: 8.1405 8.1405 8.1405 Å, 90.00 90.00 90.00°
Fractional positions:
Tb (0.0000, 0.0000, 0.0000)
Tb (0.0000, 0.5000, 0.5000)
Tb (0.2500, 0.2500, 0.2500)
Tb (0.2500, 0.2500, 0.7500)
Tb (0.2500, 0.7500, 0.2500)
Tb (0.2500, 0.7500, 0.7500)
Tb (0.5000, 0.0000, 0.5000)
Tb (0.5000, 0.5000, 0.0000)
Tb (0.7500, 0.2500, 0.2500)
Tb (0.7500, 0.2500, 0.7500)
Tb (0.7500, 0.7500, 0.2500)
Tb (0.7500, 0.7500, 0.7500)
Eu (0.0000, 0.0000, 0.5000)
Eu (0.0000, 0.5000, 0.0000)
Eu (0.5000, 0.0000, 0.0000)
Eu (0.5000, 0.5000, 0.5000)

Properties
energy above the most stable polymorph in this dataset = 0.092 eV/atom



Hf2SiH2 after structural relaxation. Source: Alexandria via LeMat-Bulk, functional PBE.

Cell: 3.2155 3.2155 11.8950 Å, 90.00 90.00 90.00°
Fractional positions:
Hf (0.0000, 0.0000, 0.1360)
Hf (0.0000, 0.0000, 0.8640)
Hf (0.5000, 0.5000, 0.3640)
Hf (0.5000, 0.5000, 0.6360)
Si (0.0000, 0.0000, 0.5000)
Si (0.5000, 0.5000, 0.0000)
H (0.0000, 0.5000, 0.2500)
H (0.0000, 0.5000, 0.7500)
H (0.5000, 0.0000, 0.2500)
H (0.5000, 0.0000, 0.7500)

Properties
energy above the most stable polymorph in this dataset = 0.000 eV/atom



InAg8Au6 after structural relaxation. Source: Alexandria via LeMat-Bulk, functional PBE.

Cell: 7.2986 7.2986 7.2986 Å, 64.27 64.27 64.27°
Fractional positions:
In (0.0000, 0.0000, 0.0000)
Ag (0.1593, 0.7725, 0.4280)
Ag (0.1932, 0.1932, 0.1932)
Ag (0.2275, 0.5720, 0.8407)
Ag (0.4280, 0.1593, 0.7725)
Ag (0.5720, 0.8407, 0.2275)
Ag (0.7725, 0.4280, 0.1593)
Ag (0.8068, 0.8068, 0.8068)
Ag (0.8407, 0.2275, 0.5720)
Au (0.0149, 0.4085, 0.7133)
Au (0.2867, 0.9851, 0.5915)
Au (0.4085, 0.7133, 0.0149)
Au (0.5915, 0.2867, 0.9851)
Au (0.7133, 0.0149, 0.4085)
Au (0.9851, 0.5915, 0.2867)

Properties
total energy = -44.59 eV/cell



YEr2Ga6 after structural relaxation. Source: Alexandria via LeMat-Bulk, functional PBE.

Cell: 7.7970 7.7970 7.7970 Å, 148.10 127.14 63.08°
Fractional positions:
Y (0.0000, 0.0000, 0.0000)
Er (0.3750, 0.8750, 0.5000)
Er (0.6250, 0.1250, 0.5000)
Ga (0.0081, 0.3143, 0.6938)
Ga (0.3105, 0.5000, 0.8105)
Ga (0.3795, 0.6857, 0.6938)
Ga (0.6205, 0.3143, 0.3062)
Ga (0.6895, 0.5000, 0.1895)
Ga (0.9919, 0.6857, 0.3062)

Properties
energy above the most stable polymorph in this dataset = 0.149 eV/atom



Sr2AgAs4Au3 after structural relaxation. Source: Alexandria via LeMat-Bulk, functional PBE.

Cell: 4.5621 4.5621 10.9577 Å, 90.00 90.00 90.00°
Fractional positions:
Sr (0.0000, 0.5000, 0.2502)
Sr (0.5000, 0.0000, 0.7498)
Ag (0.0000, 0.0000, 0.5000)
As (0.0000, 0.0000, 0.0000)
As (0.0000, 0.5000, 0.6359)
As (0.5000, 0.0000, 0.3641)
As (0.5000, 0.5000, 0.0000)
Au (0.0000, 0.5000, 0.8678)
Au (0.5000, 0.0000, 0.1322)
Au (0.5000, 0.5000, 0.5000)

Properties
total energy = -39.78 eV/cell



HfNb6Mo2 after structural relaxation. Source: Alexandria via LeMat-Bulk, functional PBE.

Cell: 5.5200 5.5200 9.9766 Å, 109.29 109.29 34.62°
Fractional positions:
Hf (0.0000, 0.0000, 0.0000)
Nb (0.0058, 0.0058, 0.3299)
Nb (0.3237, 0.3237, 0.1169)
Nb (0.3322, 0.3322, 0.4389)
Nb (0.6678, 0.6678, 0.5611)
Nb (0.6763, 0.6763, 0.8831)
Nb (0.9942, 0.9942, 0.6701)
Mo (0.3301, 0.3301, 0.7702)
Mo (0.6699, 0.6699, 0.2298)

Properties
energy above the most stable polymorph in this dataset = 0.000 eV/atom



NbSiOs after structural relaxation. Source: Alexandria via LeMat-Bulk, functional PBE.

Cell: 4.9249 6.0428 5.9669 Å, 90.00 90.00 90.00°
Fractional positions:
Nb (0.2500, 0.1466, 0.0000)
Nb (0.2500, 0.3534, 0.5000)
Nb (0.7500, 0.6466, 0.5000)
Nb (0.7500, 0.8534, 0.0000)
Si (0.0000, 0.0000, 0.3555)
Si (0.0000, 0.5000, 0.8555)
Si (0.5000, 0.0000, 0.3555)
Si (0.5000, 0.5000, 0.8555)
Os (0.2500, 0.6602, 0.1807)
Os (0.2500, 0.8398, 0.6807)
Os (0.7500, 0.1602, 0.6807)
Os (0.7500, 0.3398, 0.1807)

Properties
E_form (uncorrected) = -0.4335 eV/atom



LiMgCd2 after structural relaxation. Source: Alexandria via LeMat-Bulk, functional PBE.

Cell: 3.4816 4.8008 9.6742 Å, 90.00 90.00 90.00°
Fractional positions:
Li (0.0000, 0.0000, 0.0000)
Li (0.5000, 0.5000, 0.5000)
Mg (0.0000, 0.5000, 0.7551)
Mg (0.5000, 0.0000, 0.2551)
Cd (0.0000, 0.0000, 0.5112)
Cd (0.0000, 0.5000, 0.2656)
Cd (0.5000, 0.0000, 0.7656)
Cd (0.5000, 0.5000, 0.0112)

Properties
total energy = -11.92 eV/cell



KSr2Mg after structural relaxation. Source: Alexandria via LeMat-Bulk, functional PBE.

Cell: 4.1856 4.1786 11.2735 Å, 90.00 90.17 90.00°
Fractional positions:
K (0.0000, 0.0000, 0.0000)
Sr (0.4983, 0.5000, 0.3153)
Sr (0.5017, 0.5000, 0.6847)
Mg (0.0000, 0.0000, 0.5000)

Properties
total energy = -5.96 eV/cell



AcLa2Tc after structural relaxation. Source: Alexandria via LeMat-Bulk, functional PBE.

Cell: 3.6222 3.6222 9.7291 Å, 90.00 90.00 90.00°
Fractional positions:
Ac (0.0000, 0.0000, 0.0000)
La (0.5000, 0.5000, 0.3227)
La (0.5000, 0.5000, 0.6773)
Tc (0.0000, 0.0000, 0.5000)

Properties
energy above the most stable polymorph in this dataset = 0.068 eV/atom



Rb4NaU3S12 after structural relaxation. Source: Alexandria via LeMat-Bulk, functional PBE.

Cell: 9.0714 9.0714 9.0714 Å, 109.47 109.47 109.47°
Fractional positions:
Rb (0.0000, 0.0000, 0.5000)
Rb (0.0000, 0.5000, 0.0000)
Rb (0.5000, 0.0000, 0.0000)
Rb (0.5000, 0.5000, 0.5000)
Na (0.0000, 0.0000, 0.0000)
U (0.0000, 0.5000, 0.5000)
U (0.5000, 0.0000, 0.5000)
U (0.5000, 0.5000, 0.0000)
S (0.0000, 0.2683, 0.2683)
S (0.0000, 0.7317, 0.7317)
S (0.2500, 0.5000, 0.7500)
S (0.2500, 0.7500, 0.5000)
S (0.2683, 0.0000, 0.2683)
S (0.2683, 0.2683, 0.0000)
S (0.5000, 0.2500, 0.7500)
S (0.5000, 0.7500, 0.2500)
S (0.7317, 0.0000, 0.7317)
S (0.7317, 0.7317, 0.0000)
S (0.7500, 0.2500, 0.5000)
S (0.7500, 0.5000, 0.2500)

Properties
E_form (uncorrected) = -1.1973 eV/atom



BaBSeBr2 after structural relaxation. Source: Alexandria via LeMat-Bulk, functional PBE.

Cell: 6.2530 6.2530 6.5328 Å, 90.00 90.00 90.00°
Fractional positions:
Ba (0.0000, 0.0000, 0.0000)
B (0.5000, 0.5000, 0.5000)
Se (0.0000, 0.0000, 0.5000)
Br (0.0000, 0.5000, 0.0000)
Br (0.5000, 0.0000, 0.0000)

Properties
E_form (uncorrected) = 0.3485 eV/atom
energy above the most stable polymorph in this dataset = 0.917 eV/atom



LiNb2TlPb after structural relaxation. Source: Alexandria via LeMat-Bulk, functional PBE.

Cell: 4.6880 4.6880 4.6388 Å, 90.00 90.00 90.00°
Fractional positions:
Li (0.0000, 0.0000, 0.0000)
Nb (0.0000, 0.5000, 0.0000)
Nb (0.5000, 0.0000, 0.0000)
Tl (0.5000, 0.5000, 0.5000)
Pb (0.0000, 0.0000, 0.5000)

Properties
total energy = -23.36 eV/cell



CeLuV4 after structural relaxation. Source: Alexandria via LeMat-Bulk, functional PBE.

Cell: 5.3045 5.3045 5.3045 Å, 60.00 60.00 60.00°
Fractional positions:
Ce (0.0000, 0.0000, 0.0000)
Lu (0.7500, 0.7500, 0.7500)
V (0.3737, 0.3737, 0.3737)
V (0.3737, 0.3737, 0.8789)
V (0.3737, 0.8789, 0.3737)
V (0.8789, 0.3737, 0.3737)

Properties
total energy = -45.47 eV/cell



ScZnBr2 after structural relaxation. Source: Alexandria via LeMat-Bulk, functional PBE.

Cell: 4.9971 4.9971 3.7450 Å, 90.00 90.00 90.00°
Fractional positions:
Sc (0.0000, 0.0000, 0.0000)
Zn (0.5000, 0.5000, 0.0000)
Br (0.0000, 0.5000, 0.5000)
Br (0.5000, 0.0000, 0.5000)

Properties
E_form (uncorrected) = -0.3968 eV/atom
energy above the most stable polymorph in this dataset = 0.508 eV/atom



Sr2GaSeBr after structural relaxation. Source: Alexandria via LeMat-Bulk, functional PBE.

Cell: 6.0418 6.0418 5.0391 Å, 90.00 90.00 90.00°
Fractional positions:
Sr (0.0000, 0.5000, 0.0000)
Sr (0.5000, 0.0000, 0.0000)
Ga (0.0000, 0.0000, 0.0000)
Se (0.0000, 0.0000, 0.5000)
Br (0.5000, 0.5000, 0.5000)

Properties
E_form (uncorrected) = -0.7117 eV/atom



Cs2CdFe after structural relaxation. Source: Alexandria via LeMat-Bulk, functional PBE.

Cell: 9.1124 9.1124 9.1124 Å, 90.00 90.00 90.00°
Fractional positions:
Cs (0.2500, 0.2500, 0.2500)
Cs (0.2500, 0.2500, 0.7500)
Cs (0.2500, 0.7500, 0.2500)
Cs (0.2500, 0.7500, 0.7500)
Cs (0.7500, 0.2500, 0.2500)
Cs (0.7500, 0.2500, 0.7500)
Cs (0.7500, 0.7500, 0.2500)
Cs (0.7500, 0.7500, 0.7500)
Cd (0.0000, 0.0000, 0.0000)
Cd (0.0000, 0.5000, 0.5000)
Cd (0.5000, 0.0000, 0.5000)
Cd (0.5000, 0.5000, 0.0000)
Fe (0.0000, 0.0000, 0.5000)
Fe (0.0000, 0.5000, 0.0000)
Fe (0.5000, 0.0000, 0.0000)
Fe (0.5000, 0.5000, 0.5000)

Properties
total energy = -31.84 eV/cell



Eu2Ti12Cu9O36 after structural relaxation. Source: Alexandria via LeMat-Bulk, functional PBE.

Cell: 10.5359 10.5359 6.4688 Å, 90.00 90.00 120.00°
Fractional positions:
Eu (0.3333, 0.6667, 0.3284)
Eu (0.6667, 0.3333, 0.6716)
Ti (0.0000, 0.0000, 0.5000)
Ti (0.0000, 0.5000, 0.5000)
Ti (0.1583, 0.3178, 0.1634)
Ti (0.1595, 0.8417, 0.1634)
Ti (0.3178, 0.1595, 0.8366)
Ti (0.3333, 0.6667, 0.8378)
Ti (0.5000, 0.0000, 0.5000)
Ti (0.5000, 0.5000, 0.5000)
Ti (0.6667, 0.3333, 0.1622)
Ti (0.6822, 0.8405, 0.1634)
Ti (0.8405, 0.1583, 0.8366)
Ti (0.8417, 0.6822, 0.8366)
Cu (0.0000, 0.5000, 0.0000)
Cu (0.1678, 0.8315, 0.6619)
Cu (0.1685, 0.3363, 0.6619)
Cu (0.3363, 0.1678, 0.3381)
Cu (0.5000, 0.0000, 0.0000)
Cu (0.5000, 0.5000, 0.0000)
Cu (0.6637, 0.8322, 0.6619)
Cu (0.8315, 0.6637, 0.3381)
Cu (0.8322, 0.1685, 0.3381)
O (0.0167, 0.1643, 0.3299)
O (0.0448, 0.2685, 0.9112)
O (0.0717, 0.4474, 0.2468)
O (0.1150, 0.7078, 0.4129)
O (0.1476, 0.9833, 0.3299)
O (0.1643, 0.1476, 0.6701)
O (0.1746, 0.5252, 0.6482)
O (0.1893, 0.6816, 0.0108)
O (0.2237, 0.9552, 0.9112)
O (0.2685, 0.2237, 0.0888)
O (0.2922, 0.4072, 0.4129)
O (0.3184, 0.5077, 0.0108)
O (0.3507, 0.8254, 0.6482)
O (0.3758, 0.9283, 0.2468)
O (0.4072, 0.1150, 0.5871)
O (0.4474, 0.3758, 0.7532)
O (0.4748, 0.6493, 0.6482)
O (0.4923, 0.8107, 0.0108)
O (0.5077, 0.1893, 0.9892)
O (0.5252, 0.3507, 0.3518)
O (0.5526, 0.6242, 0.2468)
O (0.5928, 0.8850, 0.4129)
O (0.6242, 0.0717, 0.7532)
O (0.6493, 0.1746, 0.3518)
O (0.6816, 0.4923, 0.9892)
O (0.7078, 0.5928, 0.5871)
O (0.7315, 0.7763, 0.9112)
O (0.7763, 0.0448, 0.0888)
O (0.8107, 0.3184, 0.9892)
O (0.8254, 0.4748, 0.3518)
O (0.8357, 0.8524, 0.3299)
O (0.8524, 0.0167, 0.6701)
O (0.8850, 0.2922, 0.5871)
O (0.9283, 0.5526, 0.7532)
O (0.9552, 0.7315, 0.0888)
O (0.9833, 0.8357, 0.6701)

Properties
E_form (uncorrected) = -2.2296 eV/atom